DFT (PBE) results for a relaxed structure of ZrNbZnI.

Computed properties:
**Total DFT energy (no corrections)**: -5.198 eV/atom
**Uncorrected formation energy**: 162 meV per atom

Cell: 3.4239 4.4759 5.4163 Å, 90.00 90.00 90.00°
Fractional positions:
Zr 0.0000 0.0000 0.0000
Nb 0.5000 0.0000 0.4626
Zn 0.0000 0.5000 0.3314
I 0.5000 0.5000 0.7976



DFT (PBE) results for a relaxed structure of ZrNbZnI.

Computed properties:
**Total DFT energy (no corrections)**: -5.133 eV/atom
**Uncorrected formation energy**: 228 meV per atom

Cell: 10.2076 3.2888 4.9793 Å, 90.00 102.64 90.00°
Fractional positions:
Zr 0.0000 0.0000 0.0000
Zr 0.5000 0.5000 0.0000
Nb 0.2150 0.0000 0.6404
Nb 0.7150 0.5000 0.6404
Zn 0.2344 0.5000 0.1264
Zn 0.7344 0.0000 0.1264
I 0.4795 0.0000 0.4902
I 0.9795 0.5000 0.4902



DFT (PBE) results for a relaxed structure of ZrNbZnI.

Computed properties:
**Total DFT energy (no corrections)**: -5.181 eV/atom
**Uncorrected formation energy**: 179 meV per atom

Cell: 14.2821 3.7015 3.3097 Å, 90.00 90.34 90.00°
Fractional positions:
Zr 0.0000 0.0000 0.0000
Zr 0.5000 0.5000 0.0000
Nb 0.1985 0.0000 0.9940
Nb 0.6985 0.5000 0.9940
Zn 0.1167 0.5000 0.4955
Zn 0.6167 0.0000 0.4955
I 0.3702 0.0000 0.4976
I 0.8702 0.5000 0.4976



DFT (PBE) results for a relaxed structure of ZrNbZnI.

Computed properties:
**Total DFT energy (no corrections)**: -5.152 eV/atom
**Uncorrected formation energy**: 208 meV per atom

Cell: 3.3543 4.5343 5.4471 Å, 90.00 90.00 90.00°
Fractional positions:
Zr 0.0000 0.0000 0.0000
Nb 0.5000 0.0000 0.5231
Zn 0.5000 0.5000 0.8338
I 0.0000 0.5000 0.3476



DFT (PBE) results for a relaxed structure of Zr2NbI.

Computed properties:
**Total DFT energy (no corrections)**: -6.815 eV/atom
**Uncorrected formation energy**: 364 meV per atom

Cell: 7.0469 7.0469 7.0469 Å, 90.00 90.00 90.00°
Fractional positions:
Zr 0.2500 0.2500 0.2500
Zr 0.2500 0.2500 0.7500
Zr 0.2500 0.7500 0.2500
Zr 0.2500 0.7500 0.7500
Zr 0.7500 0.2500 0.2500
Zr 0.7500 0.2500 0.7500
Zr 0.7500 0.7500 0.2500
Zr 0.7500 0.7500 0.7500
Nb 0.0000 0.0000 0.0000
Nb 0.0000 0.5000 0.5000
Nb 0.5000 0.0000 0.5000
Nb 0.5000 0.5000 0.0000
I 0.0000 0.0000 0.5000
I 0.0000 0.5000 0.0000
I 0.5000 0.0000 0.0000
I 0.5000 0.5000 0.5000



DFT (PBE) results for a relaxed structure of ZrNbI2.

Computed properties:
**Total DFT energy (no corrections)**: -5.080 eV/atom
**Uncorrected formation energy**: 350 meV per atom

Cell: 7.1029 7.1029 7.1029 Å, 90.00 90.00 90.00°
Fractional positions:
Zr 0.0000 0.0000 0.0000
Zr 0.0000 0.5000 0.5000
Zr 0.5000 0.0000 0.5000
Zr 0.5000 0.5000 0.0000
Nb 0.0000 0.0000 0.5000
Nb 0.0000 0.5000 0.0000
Nb 0.5000 0.0000 0.0000
Nb 0.5000 0.5000 0.5000
I 0.2500 0.2500 0.2500
I 0.2500 0.2500 0.7500
I 0.2500 0.7500 0.2500
I 0.2500 0.7500 0.7500
I 0.7500 0.2500 0.2500
I 0.7500 0.2500 0.7500
I 0.7500 0.7500 0.2500
I 0.7500 0.7500 0.7500



DFT (PBE) results for a relaxed structure of Zr2NbI.

Computed properties:
**Total DFT energy (no corrections)**: -6.549 eV/atom
**Uncorrected formation energy**: 630 meV per atom

Cell: 4.2742 4.2742 20.4830 Å, 90.00 90.00 90.00°
Fractional positions:
Zr 0.2492 0.2500 0.1250
Zr 0.2500 0.7492 0.3750
Zr 0.2500 0.7508 0.8750
Zr 0.2508 0.2500 0.6250
Zr 0.7492 0.7500 0.6250
Zr 0.7500 0.2492 0.8750
Zr 0.7500 0.2508 0.3750
Zr 0.7508 0.7500 0.1250
Nb 0.0000 0.0000 0.0000
Nb 0.0000 0.5000 0.2500
Nb 0.5000 0.0000 0.7500
Nb 0.5000 0.5000 0.5000
I 0.0000 0.0000 0.5000
I 0.0000 0.5000 0.7500
I 0.5000 0.0000 0.2500
I 0.5000 0.5000 0.0000



DFT (PBE) results for a relaxed structure of ZrNbI2.

Computed properties:
**Total DFT energy (no corrections)**: -4.586 eV/atom
**Uncorrected formation energy**: 844 meV per atom

Cell: 6.8409 6.8409 11.0929 Å, 90.00 90.00 90.00°
Fractional positions:
Zr 0.0000 0.0000 0.0000
Zr 0.0000 0.5000 0.2500
Zr 0.5000 0.0000 0.7500
Zr 0.5000 0.5000 0.5000
Nb 0.0000 0.0000 0.5000
Nb 0.0000 0.5000 0.7500
Nb 0.5000 0.0000 0.2500
Nb 0.5000 0.5000 0.0000
I 0.2381 0.2500 0.6250
I 0.2500 0.7381 0.8750
I 0.2500 0.7619 0.3750
I 0.2619 0.2500 0.1250
I 0.7381 0.7500 0.1250
I 0.7500 0.2381 0.3750
I 0.7500 0.2619 0.8750
I 0.7619 0.7500 0.6250



DFT (PBE) results for a relaxed structure of ZrNb2I.

Computed properties:
**Total DFT energy (no corrections)**: -6.975 eV/atom
**Uncorrected formation energy**: 584 meV per atom

Cell: 6.8523 6.8523 6.8523 Å, 90.00 90.00 90.00°
Fractional positions:
Zr 0.0000 0.0000 0.0000
Zr 0.0000 0.5000 0.5000
Zr 0.5000 0.0000 0.5000
Zr 0.5000 0.5000 0.0000
Nb 0.2500 0.2500 0.2500
Nb 0.2500 0.2500 0.7500
Nb 0.2500 0.7500 0.2500
Nb 0.2500 0.7500 0.7500
Nb 0.7500 0.2500 0.2500
Nb 0.7500 0.2500 0.7500
Nb 0.7500 0.7500 0.2500
Nb 0.7500 0.7500 0.7500
I 0.0000 0.0000 0.5000
I 0.0000 0.5000 0.0000
I 0.5000 0.0000 0.0000
I 0.5000 0.5000 0.5000



DFT (PBE) results for a relaxed structure of Zr2NbI2.

Computed properties:
**Total DFT energy (no corrections)**: -5.278 eV/atom
**Uncorrected formation energy**: 775 meV per atom

Cell: 4.3780 4.3780 14.2094 Å, 90.00 90.00 90.00°
Fractional positions:
Zr 0.0000 0.0000 0.1026
Zr 0.0000 0.0000 0.8974
Zr 0.5000 0.5000 0.3974
Zr 0.5000 0.5000 0.6026
Nb 0.0000 0.0000 0.5000
Nb 0.5000 0.5000 0.0000
I 0.0000 0.5000 0.2500
I 0.0000 0.5000 0.7500
I 0.5000 0.0000 0.2500
I 0.5000 0.0000 0.7500



DFT (PBE) results for a relaxed structure of Zr2NbI2.

Computed properties:
**Total DFT energy (no corrections)**: -5.539 eV/atom
**Uncorrected formation energy**: 515 meV per atom

Cell: 8.2911 8.2911 3.4433 Å, 90.00 90.00 90.00°
Fractional positions:
Zr 0.1549 0.3451 0.0000
Zr 0.3451 0.8451 0.0000
Zr 0.6549 0.1549 0.0000
Zr 0.8451 0.6549 0.0000
Nb 0.0000 0.0000 0.0000
Nb 0.5000 0.5000 0.0000
I 0.1439 0.6439 0.5000
I 0.3561 0.1439 0.5000
I 0.6439 0.8561 0.5000
I 0.8561 0.3561 0.5000



DFT (PBE) results for a relaxed structure of ZrNbI3.

Computed properties:
**Total DFT energy (no corrections)**: -4.015 eV/atom
**Uncorrected formation energy**: 639 meV per atom

Cell: 5.7014 5.7014 5.7014 Å, 90.00 90.00 90.00°
Fractional positions:
Zr 0.0000 0.0000 0.0000
Nb 0.5000 0.5000 0.5000
I 0.0000 0.0000 0.5000
I 0.0000 0.5000 0.0000
I 0.5000 0.0000 0.0000



DFT (PBE) results for a relaxed structure of Zr3NbI.

Computed properties:
**Total DFT energy (no corrections)**: -6.277 eV/atom
**Uncorrected formation energy**: 1176 meV per atom

Cell: 5.1659 5.1659 5.1659 Å, 90.00 90.00 90.00°
Fractional positions:
Zr 0.0000 0.0000 0.5000
Zr 0.0000 0.5000 0.0000
Zr 0.5000 0.0000 0.0000
Nb 0.5000 0.5000 0.5000
I 0.0000 0.0000 0.0000



DFT (PBE) results for a relaxed structure of ZrNb2I6.

Computed properties:
**Total DFT energy (no corrections)**: -4.512 eV/atom
**Uncorrected formation energy**: -291 meV per atom

Cell: 9.6629 9.6629 6.6654 Å, 108.65 108.65 81.69°
Fractional positions:
Zr 0.0766 0.9234 0.7500
Zr 0.9234 0.0766 0.2500
Nb 0.1696 0.2915 0.4767
Nb 0.2915 0.1696 0.9767
Nb 0.7085 0.8304 0.0233
Nb 0.8304 0.7085 0.5233
I 0.0055 0.2343 0.7278
I 0.1167 0.6116 0.7709
I 0.2343 0.0055 0.2278
I 0.2860 0.4483 0.2773
I 0.3884 0.8833 0.7291
I 0.4483 0.2860 0.7773
I 0.5517 0.7140 0.2227
I 0.6116 0.1167 0.2709
I 0.7140 0.5517 0.7227
I 0.7657 0.9945 0.7722
I 0.8833 0.3884 0.2291
I 0.9945 0.7657 0.2722



DFT (PBE) results for a relaxed structure of ZrNb2I.

Computed properties:
**Total DFT energy (no corrections)**: -6.931 eV/atom
**Uncorrected formation energy**: 628 meV per atom

Cell: 4.1189 4.1189 20.6949 Å, 90.00 90.00 90.00°
Fractional positions:
Zr 0.0000 0.0000 0.0000
Zr 0.0000 0.5000 0.2500
Zr 0.5000 0.0000 0.7500
Zr 0.5000 0.5000 0.5000
Nb 0.2446 0.2500 0.6250
Nb 0.2500 0.7446 0.8750
Nb 0.2500 0.7554 0.3750
Nb 0.2554 0.2500 0.1250
Nb 0.7446 0.7500 0.1250
Nb 0.7500 0.2446 0.3750
Nb 0.7500 0.2554 0.8750
Nb 0.7554 0.7500 0.6250
I 0.0000 0.0000 0.5000
I 0.0000 0.5000 0.7500
I 0.5000 0.0000 0.2500
I 0.5000 0.5000 0.0000



DFT (PBE) results for a relaxed structure of Nd3I2.

Computed properties:
**Total DFT energy (no corrections)**: -3.952 eV/atom
**Uncorrected formation energy**: -471 meV per atom

Cell: 9.3211 9.3211 9.3211 Å, 44.05 44.05 44.05°
Fractional positions:
Nd 0.1034 0.7500 0.3966
Nd 0.2500 0.6034 0.8966
Nd 0.3966 0.1034 0.7500
Nd 0.6034 0.8966 0.2500
Nd 0.7500 0.3966 0.1034
Nd 0.8966 0.2500 0.6034
I 0.1709 0.1709 0.1709
I 0.3291 0.3291 0.3291
I 0.6709 0.6709 0.6709
I 0.8291 0.8291 0.8291



DFT (PBE) results for a relaxed structure of NdI.

Computed properties:
**Total DFT energy (no corrections)**: -4.032 eV/atom
**Uncorrected formation energy**: -873 meV per atom

Cell: 4.2552 4.2552 7.5017 Å, 90.00 90.00 90.00°
Fractional positions:
Nd 0.2500 0.2500 0.1497
Nd 0.7500 0.7500 0.8503
I 0.2500 0.2500 0.6723
I 0.7500 0.7500 0.3277



DFT (PBE) results for a relaxed structure of NdI3.

Computed properties:
**Total DFT energy (no corrections)**: -3.742 eV/atom
**Uncorrected formation energy**: -1387 meV per atom

Cell: 11.6402 11.6402 4.1298 Å, 90.00 90.00 120.00°
Fractional positions:
Nd 0.3333 0.6667 0.2500
Nd 0.6667 0.3333 0.7500
I 0.2155 0.4310 0.7500
I 0.2155 0.7845 0.7500
I 0.4310 0.2155 0.2500
I 0.5690 0.7845 0.7500
I 0.7845 0.2155 0.2500
I 0.7845 0.5690 0.2500



DFT (PBE) results for a relaxed structure of NdI3.

Computed properties:
**Total DFT energy (no corrections)**: -3.744 eV/atom
**Uncorrected formation energy**: -1390 meV per atom

Cell: 4.1290 12.7451 7.9239 Å, 90.00 90.00 90.00°
Fractional positions:
Nd 0.0000 0.0000 0.0000
Nd 0.5000 0.5000 0.5000
I 0.0000 0.3387 0.3496
I 0.0000 0.5000 0.7995
I 0.0000 0.6613 0.3496
I 0.5000 0.0000 0.2995
I 0.5000 0.1613 0.8496
I 0.5000 0.8387 0.8496



DFT (PBE) results for a relaxed structure of Nd2I3.

Computed properties:
**Total DFT energy (no corrections)**: -3.838 eV/atom
**Uncorrected formation energy**: -1001 meV per atom

Cell: 9.2565 9.2565 9.2565 Å, 46.63 46.63 46.63°
Fractional positions:
Nd 0.1707 0.1707 0.1707
Nd 0.3293 0.3293 0.3293
Nd 0.6707 0.6707 0.6707
Nd 0.8293 0.8293 0.8293
I 0.0936 0.7500 0.4064
I 0.2500 0.5936 0.9064
I 0.4064 0.0936 0.7500
I 0.5936 0.9064 0.2500
I 0.7500 0.4064 0.0936
I 0.9064 0.2500 0.5936



DFT (PBE) results for a relaxed structure of Nd3Ni3I.

Computed properties:
**Total DFT energy (no corrections)**: -5.233 eV/atom
**Uncorrected formation energy**: -490 meV per atom

Cell: 9.7508 9.7508 4.1676 Å, 90.00 90.00 120.00°
Fractional positions:
Nd 0.0649 0.3658 0.2500
Nd 0.3009 0.9351 0.2500
Nd 0.3658 0.3009 0.7500
Nd 0.6342 0.6991 0.2500
Nd 0.6991 0.0649 0.7500
Nd 0.9351 0.6342 0.7500
Ni 0.0237 0.1568 0.7500
Ni 0.1331 0.9763 0.7500
Ni 0.1568 0.1331 0.2500
Ni 0.8432 0.8669 0.7500
Ni 0.8669 0.0237 0.2500
Ni 0.9763 0.8432 0.2500
I 0.3333 0.6667 0.7500
I 0.6667 0.3333 0.2500



DFT (PBE) results for a relaxed structure of Nd5Ni2I2.

Computed properties:
**Total DFT energy (no corrections)**: -4.792 eV/atom
**Uncorrected formation energy**: -514 meV per atom

Cell: 9.2091 9.2091 7.5336 Å, 90.00 90.00 54.57°
Fractional positions:
Nd 0.0000 0.0000 0.0000
Nd 0.0556 0.7220 0.6464
Nd 0.2220 0.5556 0.1464
Nd 0.2780 0.9444 0.6464
Nd 0.4444 0.7780 0.1464
Nd 0.5000 0.5000 0.5000
Nd 0.5556 0.2220 0.8536
Nd 0.7220 0.0556 0.3536
Nd 0.7780 0.4444 0.8536
Nd 0.9444 0.2780 0.3536
Ni 0.1141 0.8859 0.3598
Ni 0.3859 0.6141 0.8598
Ni 0.6141 0.3859 0.1402
Ni 0.8859 0.1141 0.6402
I 0.2076 0.2076 0.0000
I 0.2924 0.2924 0.5000
I 0.7076 0.7076 0.5000
I 0.7924 0.7924 0.0000



DFT (PBE) results for a relaxed structure of Nd7NiI12.

Computed properties:
**Total DFT energy (no corrections)**: -4.119 eV/atom
**Uncorrected formation energy**: -1231 meV per atom

Cell: 9.9800 9.9800 9.9800 Å, 107.40 107.40 107.40°
Fractional positions:
Nd 0.0000 0.0000 0.0000
Nd 0.1970 0.3974 0.4698
Nd 0.3974 0.4698 0.1970
Nd 0.4698 0.1970 0.3974
Nd 0.5302 0.8030 0.6026
Nd 0.6026 0.5302 0.8030
Nd 0.8030 0.6026 0.5302
Ni 0.5000 0.5000 0.5000
I 0.0279 0.3436 0.1102
I 0.1102 0.0279 0.3436
I 0.1815 0.7258 0.5749
I 0.2742 0.4251 0.8185
I 0.3436 0.1102 0.0279
I 0.4251 0.8185 0.2742
I 0.5749 0.1815 0.7258
I 0.6564 0.8898 0.9721
I 0.7258 0.5749 0.1815
I 0.8185 0.2742 0.4251
I 0.8898 0.9721 0.6564
I 0.9721 0.6564 0.8898



DFT (PBE) results for a relaxed structure of Nd3NiI3.

Computed properties:
**Total DFT energy (no corrections)**: -4.493 eV/atom
**Uncorrected formation energy**: -960 meV per atom

Cell: 9.3264 4.1332 12.6307 Å, 90.00 91.32 90.00°
Fractional positions:
Nd 0.0867 0.2500 0.3876
Nd 0.1201 0.2500 0.8422
Nd 0.3119 0.7500 0.6216
Nd 0.6881 0.2500 0.3784
Nd 0.8799 0.7500 0.1578
Nd 0.9133 0.7500 0.6124
Ni 0.1153 0.2500 0.6242
Ni 0.8847 0.7500 0.3758
I 0.1412 0.2500 0.1156
I 0.3821 0.7500 0.8751
I 0.3851 0.7500 0.3683
I 0.6149 0.2500 0.6317
I 0.6179 0.2500 0.1249
I 0.8588 0.7500 0.8844



Number 1: M_tot 0.0 Bohr magnetons per cell. Number 2: M_tot 0.0 Bohr magnetons per cell. Number 3: M_tot 0.0 Bohr magnetons per cell. Number 4: M_tot 0.0 Bohr magnetons per cell. Number 5: M_tot 0.0 Bohr magnetons per cell. Number 6: M_tot 8.2 Bohr magnetons per cell. Number 7: M_tot 0.0 Bohr magnetons per cell. Number 8: M_tot 9.1 Bohr magnetons per cell. Number 9: M_tot 0.0 Bohr magnetons per cell. Number 10: M_tot 0.0 Bohr magnetons per cell. Number 11: M_tot 1.5 Bohr magnetons per cell. Number 12: M_tot 5.5 Bohr magnetons per cell. Number 13: M_tot 0.0 Bohr magnetons per cell. Number 14: M_tot 0.0 Bohr magnetons per cell. Number 15: M_tot 0.0 Bohr magnetons per cell. Number 16: M_tot 0.0 Bohr magnetons per cell. Number 17: M_tot 0.0 Bohr magnetons per cell. Number 18: M_tot 0.0 Bohr magnetons per cell. Number 19: M_tot 0.0 Bohr magnetons per cell. Number 20: M_tot 2.6 Bohr magnetons per cell. Number 21: M_tot 0.0 Bohr magnetons per cell. Number 22: M_tot 0.0 Bohr magnetons per cell. Number 23: M_tot 0.5 Bohr magnetons per cell. Number 24: M_tot 0.0 Bohr magnetons per cell.